(1)
K2NaGeBr5 | PBE-GGA | optimized geometry

calculated volume	1232	Å³/cell
total magnetization	0.00	μB/atom
formation energy (no corrections)	-1.285	eV per atom

Cell: 4.6068 18.7130 14.2895 Å, 90.00 90.00 90.00°
Last column: nearest neighbours and their distance in Å.
Space group Cmc2_1 (No. 36)
Inequivalent atoms, fractional coordinates:
K1 0.0000 0.1077 0.0000 x4  6 Br 3.22-3.45
K2 0.0000 0.1453 0.6446 x4  7 Br 3.35-3.61
Na1 0.0000 0.2163 0.3704 x4  6 Br 2.97-3.19
Ge1 0.0000 0.4621 0.7796 x4  4 Br 2.62-2.78
Br1 0.0000 0.0549 0.3866 x4  2 Ge 2.78, 1 Na 3.03
Br2 0.0000 0.2796 0.0055 x4  2 Na 3.01, 3 K 3.22-3.35
Br3 0.0000 0.3277 0.7272 x4  1 Ge 2.62
Br4 0.0000 0.3711 0.3257 x4  1 Na 2.97, 1 Ge 3.19
Br5 0.0000 0.4958 0.1013 x4  1 Ge 2.67

(2)
Sm2Al5PdRh2 | PBE-GGA | optimized geometry

calculated volume	371	Å³/cell
total magnetization	0.00	μB/atom
VASP energy	-109.47	eV for the cell shown

Cell: 9.9846 9.9846 3.7190 Å, 90.00 90.00 90.00°
Last column: nearest neighbours and their distance in Å.
Space group P4/mbm (No. 127)
Inequivalent atoms, fractional coordinates:
Sm1 0.1858 0.3142 0.0000 x4  3 Rh 2.81-3.08
Al1 0.0000 0.5000 0.5000 x2  4 Rh 2.47
Al2 0.0503 0.8022 0.5000 x8  2 Rh 2.72, 2 Pd 2.76, 2 Al 2.88
Pd1 0.0000 0.0000 0.0000 x2  8 Al 2.76
Rh1 0.1149 0.6149 0.0000 x4  6 Al 2.47-2.72

(3)
NaIr2Pb | PBE-GGA | optimized geometry

calculated volume	333	Å³/cell
total magnetization	0.00	μB/atom
VASP energy	-77.74	eV for the cell shown

Cell: 7.8841 7.8841 5.3555 Å, 90.00 90.00 90.00°
Last column: nearest neighbours and their distance in Å.
Space group I-42d (No. 122)
Inequivalent atoms, fractional coordinates:
Na1 0.0000 0.0000 0.0000 x4  2 Pb 2.68
Ir1 0.2146 0.2500 0.6250 x8  2 Pb 2.68, 2 Ir 2.74
Pb1 0.0000 0.0000 0.5000 x4  2 Na 2.68, 4 Ir 2.68

(4)
EuSF | PBE-GGA | optimized geometry

calculated volume	58	Å³/cell
total magnetization	2.00	μB/atom
formation energy (no corrections)	-2.444	eV per atom

Cell: 4.0487 4.0487 4.0718 Å, 90.00 90.00 120.00°
Last column: nearest neighbours and their distance in Å.
Space group P-6m2 (No. 187)
Inequivalent atoms, fractional coordinates:
Eu1 0.0000 0.0000 0.0000 x1  3 F 2.34
S1 0.6667 0.3333 0.5000 x1  6 Eu 3.10, 6 F 3.10
F1 0.3333 0.6667 0.0000 x1  3 Eu 2.34

(5)
LiSi6Pd12 | PBE-GGA | optimized geometry

calculated volume	922	Å³/cell
total magnetization	0.00	μB/atom
formation energy (no corrections)	-0.571	eV per atom

Cell: 11.3415 11.3415 8.2792 Å, 90.00 90.00 120.00°
Last column: nearest neighbours and their distance in Å.
Space group R-3m (No. 166, hexagonal axes)
Inequivalent atoms, fractional coordinates:
Li1 0.0000 0.0000 0.0000 x3  6 Pd 3.34, 6 Si 3.73
Si1 0.0429 0.5215 0.2684 x18  7 Pd 2.40-2.52
Pd1 0.0000 0.3743 0.5000 x18  4 Si 2.43
Pd2 0.0872 0.1744 0.3462 x18  3 Si 2.40-2.52

(6)
Ho3Pa2Co3 | PBE-GGA | optimized geometry

calculated volume	681	Å³/cell
total magnetization	0.00	μB/atom
VASP energy	-223.67	eV for the cell shown

Cell: 6.4490 14.0176 7.5350 Å, 90.00 90.00 90.00°
Last column: nearest neighbours and their distance in Å.
Space group Pnma (No. 62)
Inequivalent atoms, fractional coordinates:
Ho1 0.0002 0.0811 0.2355 x8  5 Co 2.76-3.06
Ho2 0.2356 0.2500 0.4886 x4  3 Co 2.79-2.95
Pa1 0.2467 0.6287 0.3643 x8  2 Co 2.33-2.45
Co1 0.2192 0.0581 0.5860 x8  1 Pa 2.33
Co2 0.2458 0.7500 0.5977 x4  2 Pa 2.45

(7)
BaSnCl4 | PBE-GGA | optimized geometry

calculated volume	948	Å³/cell
total magnetization	0.00	μB/atom
energy above the most stable polymorph in this dataset	0.0482	eV per atom
formation energy (no corrections)	-1.686	eV per atom

Cell: 9.9734 9.9734 9.5345 Å, 90.00 90.00 90.00°
Last column: nearest neighbours and their distance in Å.
Space group I4_1/amd (No. 141, origin choice 2)
Inequivalent atoms, fractional coordinates:
Ba1 0.0000 0.2500 0.3750 x4  8 Cl 3.16-3.34
Sn1 0.0000 0.2500 0.8750 x4  4 Cl 2.72
Cl1 0.0000 0.0642 0.6664 x16  1 Sn 2.72

(8)
Dy2MgTe | PBE-GGA | optimized geometry

calculated volume	367	Å³/cell
total magnetization	0.00	μB/atom
energy above the most stable polymorph in this dataset	0.0995	eV per atom
formation energy (no corrections)	-0.491	eV per atom

Cell: 3.9729 3.9729 26.8402 Å, 90.00 90.00 120.00°
Last column: nearest neighbours and their distance in Å.
Space group R3m (No. 160, hexagonal axes)
Inequivalent atoms, fractional coordinates:
Dy1 0.0000 0.0000 0.0000 x3  3 Te 3.06, 3 Mg 3.37
Dy2 0.0000 0.0000 0.1834 x3  3 Te 3.04, 3 Mg 3.36
Mg1 0.0000 0.0000 0.7586 x3  6 Dy 3.36-3.37
Te1 0.0000 0.0000 0.5911 x3  6 Dy 3.04-3.06

(9)
ZnCrSi2 | PBE-GGA | optimized geometry

calculated volume	166	Å³/cell
total magnetization	0.00	μB/atom
formation energy (no corrections)	0.305	eV per atom

Cell: 2.6245 2.6245 27.7767 Å, 90.00 90.00 120.00°
Last column: nearest neighbours and their distance in Å.
Space group R3m (No. 160, hexagonal axes)
Inequivalent atoms, fractional coordinates:
Zn1 0.0000 0.0000 0.0000 x3  6 Zn 2.62, 3 Cr 2.67
Cr1 0.0000 0.0000 0.7459 x3  3 Si 2.50, 6 Cr 2.62, 3 Zn 2.67
Si1 0.0000 0.0000 0.2416 x3  6 Si 2.62
Si2 0.0000 0.0000 0.4843 x3  3 Cr 2.50, 6 Si 2.62

(10)
Cu2N2Cl | PBE-GGA | optimized geometry

calculated volume	136	Å³/cell
total magnetization	0.00	μB/atom
energy above the most stable polymorph in this dataset	0.7938	eV per atom
formation energy (no corrections)	0.957	eV per atom

Cell: 3.4945 3.4945 11.1417 Å, 90.00 90.00 90.00°
Last column: nearest neighbours and their distance in Å.
Space group I4/mmm (No. 139)
Inequivalent atoms, fractional coordinates:
Cu1 0.0000 0.0000 0.1741 x4  4 N 1.94
N1 0.0000 0.5000 0.2500 x4  4 Cu 1.94
Cl1 0.0000 0.0000 0.5000 x2  8 Cu 3.14, 8 N 3.29, 4 Cl 3.49

(11)
TaTiAs | PBE-GGA | optimized geometry

calculated volume	199	Å³/cell
total magnetization	0.00	μB/atom
VASP energy	-103.17	eV for the cell shown

Cell: 3.4261 13.0158 4.4649 Å, 90.00 90.00 90.00°
Last column: nearest neighbours and their distance in Å.
Space group Cmcm (No. 63)
Inequivalent atoms, fractional coordinates:
Ta1 0.0000 0.2417 0.2500 x4  4 As 2.72-2.93, 4 Ta 2.82, 2 Ti 2.84
Ti1 0.0000 0.4328 0.7500 x4  6 As 2.72-2.84, 2 Ti 2.84, 2 Ta 2.84
As1 0.0000 0.0956 0.7500 x4  4 Ta 2.72-2.93, 6 Ti 2.72-2.84

(12)
Mg2BiPbO6 | PBE-GGA | optimized geometry

calculated volume	386	Å³/cell
total magnetization	0.06	μB/atom
formation energy (no corrections)	-1.625	eV per atom

Cell: 5.5123 5.5123 14.6759 Å, 90.00 90.00 120.00°
Last column: nearest neighbours and their distance in Å.
Space group R3 (No. 146, hexagonal axes)
Inequivalent atoms, fractional coordinates:
Mg1 0.0000 0.0000 0.0000 x3  6 O 2.08-2.21
Mg2 0.0000 0.0000 0.4996 x3  6 O 2.10-2.20
Bi1 0.0000 0.0000 0.2124 x3  6 O 2.23-2.32
Pb1 0.0000 0.0000 0.7114 x3  6 O 2.18-2.29
O1 0.0206 0.3079 0.1006 x9  2 Mg 2.10-2.21, 1 Pb 2.18, 1 Bi 2.32
O2 0.0251 0.6370 0.2677 x9  2 Mg 2.08-2.20, 1 Bi 2.23, 1 Pb 2.29